Crystalline CuHgTe2 at its relaxed geometry. Source: Alexandria via LeMat-Bulk, functional PBE.

```
CuHgTe2
1.0
5.124 -0.070 0.000
-1.671 4.845 0.000
0.000 0.000 4.110
Cu Te Hg
1 2 1
Direct
0.500 0.000 0.500 Cu
0.000 0.000 0.000 Te
0.500 0.500 0.000 Te
0.000 0.500 0.500 Hg
```

total moment = 0.0 μB per formula unit
formation energy without anion corrections = 0.374 eV per atom



Crystalline La2CoPbC at its relaxed geometry. Source: Alexandria via LeMat-Bulk, functional PBE.

```
La2CoPbC
1.0
5.551 0.000 0.000
0.000 3.717 0.000
0.000 0.000 5.551
Pb La Co C
1 2 1 1
Direct
0.500 0.500 0.500 Pb
0.000 0.000 0.500 La
0.500 0.000 0.000 La
0.000 0.500 0.000 Co
0.000 0.000 0.000 C
```

DFT total energy = -6.2362 eV/atom
total moment = 0.0 μB per formula unit



Crystalline PuInSnBr6 at its relaxed geometry. Source: Alexandria via LeMat-Bulk, functional PBE.

```
PuInSnBr6
1.0
7.658 0.000 0.000
-3.829 6.632 0.000
0.000 0.000 14.017
In Br Pu Sn
2 12 2 2
Direct
0.000 0.000 0.500 In
0.000 0.000 0.000 In
0.355 0.989 0.634 Br
0.634 0.645 0.634 Br
0.011 0.366 0.634 Br
0.989 0.634 0.366 Br
0.645 0.011 0.366 Br
0.634 0.989 0.866 Br
0.355 0.366 0.866 Br
0.645 0.634 0.134 Br
0.989 0.355 0.134 Br
0.366 0.011 0.134 Br
0.366 0.355 0.366 Br
0.011 0.645 0.866 Br
0.667 0.333 0.250 Pu
0.333 0.667 0.750 Pu
0.667 0.333 0.750 Sn
0.333 0.667 0.250 Sn
```

total moment = 5.0 μB per formula unit
formation energy without anion corrections = -1.082 eV per atom



Crystalline Sn2Sb2Au at its relaxed geometry. Source: Alexandria via LeMat-Bulk, functional PBE.

```
Sn2Sb2Au
1.0
7.746 0.000 0.000
0.000 7.746 0.000
0.000 0.000 4.657
Sn Sb Au
4 4 2
Direct
0.146 0.646 0.500 Sn
0.354 0.146 0.500 Sn
0.854 0.354 0.500 Sn
0.646 0.854 0.500 Sn
0.830 0.670 0.000 Sb
0.170 0.330 0.000 Sb
0.670 0.170 0.000 Sb
0.330 0.830 0.000 Sb
0.500 0.500 0.000 Au
0.000 0.000 0.000 Au
```

total moment = 0.0 μB per formula unit
formation energy without anion corrections = 0.147 eV per atom
energy relative to the lowest polymorph listed for this composition = 138 meV/atom



Crystalline SmYTeSe at its relaxed geometry. Source: Alexandria via LeMat-Bulk, functional PBE.

```
SmYTeSe
1.0
-3.193 1.938 1.795
-0.667 -2.631 -3.132
1.682 -5.987 4.673
Se Sm Y Te
1 1 1 1
Direct
0.302 0.549 0.866 Se
0.115 0.956 0.086 Sm
0.490 0.143 0.648 Y
0.971 0.384 0.370 Te
```

total moment = 0.0 μB per formula unit
formation energy without anion corrections = -1.602 eV per atom



Crystalline Tl2Zn4Cr at its relaxed geometry. Source: Alexandria via LeMat-Bulk, functional PBE.

```
Tl2Zn4Cr
1.0
4.988 0.000 0.000
0.000 4.988 0.000
2.494 2.494 7.074
Tl Zn Cr
2 4 1
Direct
0.374 0.374 0.251 Tl
0.626 0.626 0.749 Tl
0.000 0.500 0.000 Zn
0.823 0.823 0.355 Zn
0.177 0.177 0.645 Zn
0.500 0.000 0.000 Zn
0.000 0.000 0.000 Cr
```

DFT total energy = -2.2922 eV/atom
total moment = 3.7 μB per formula unit



Number 1: DOS at the Fermi energy 2.31 states/eV per cell. Number 2: DOS at the Fermi energy 4.71 states/eV per cell. Number 3: DOS at the Fermi energy 26.90 states/eV per cell. Number 4: DOS at the Fermi energy 4.19 states/eV per cell. Number 5: DOS at the Fermi energy 0.76 states/eV per cell. Number 6: DOS at the Fermi energy 4.42 states/eV per cell.